Sm4Ho3Tm4: relaxed, PBE.

CIF file:
```
data_Sm4Ho3Tm4
_chemical_formula_sum 'Sm8 Ho6 Tm8'
_cell_length_a 3.4967
_cell_length_b 5.6071
_cell_length_c 35.4204
_cell_angle_alpha 90.00
_cell_angle_beta 90.00
_cell_angle_gamma 90.00
_space_group_name_H-M_alt 'I m m m'
_space_group_IT_number 71
_space_group_name_Hall '-I 2 2'
loop_
_atom_site_label
_atom_site_fract_x
_atom_site_fract_y
_atom_site_fract_z
Sm1 0.0000 0.0000 0.0902
Sm2 0.0000 0.5000 0.2328
Ho1 0.0000 0.0000 0.3643
Ho2 0.0000 0.5000 0.5000
Tm1 0.0000 0.0000 0.1805
Tm2 0.0000 0.5000 0.0452
```

Output
Volume ... 31.57 Å³ per atom
Energy relative to the elements ... 0.068 eV per atom
Energy ... -49.8 eV/f.u.